Density functional theory data (PBE) for an optimized crystal structure of Th2PaSe5.

```
16
Lattice="2.904 -6.519 0.000 2.904 6.519 0.000 0.000 0.000 14.011" Properties=species:S:1:pos:R:3 pbc="T T T"
Th 2.904 4.436 7.841
Th 2.904 4.436 13.176
Th 2.904 -4.436 0.835
Th 2.904 -4.436 6.170
Pa 2.904 3.659 3.503
Pa 2.904 -3.659 10.508
Se 2.904 5.843 1.724
Se 2.904 5.843 5.282
Se 2.904 3.138 10.508
Se 2.904 2.080 1.016
Se 2.904 2.080 5.990
Se 2.904 -2.080 8.022
Se 2.904 -2.080 12.995
Se 2.904 -3.138 3.503
Se 2.904 -5.843 8.730
Se 2.904 -5.843 12.287
```

## Properties
ΔE_f (raw) = -1.4626 eV per atom
Size of the total moment = 1.39 μB per formula unit
Energy = -0.246 Ha/atom
Crystal system = orthorhombic

***

Density functional theory data (PBE) for an optimized crystal structure of PmHoTi.

```
6
Lattice="3.400 0.000 0.000 -0.002 5.567 0.000 -1.695 -0.700 8.633" Properties=species:S:1:pos:R:3 pbc="T T T"
Pm 0.003 1.042 3.740
Pm 1.700 3.825 4.893
Ho -0.004 3.745 1.473
Ho 1.707 1.122 7.160
Ti 0.002 3.975 7.632
Ti 1.701 0.892 1.001
```

## Properties
Formation enthalpy at 0 K = 0.17 eV/atom
Size of the total moment = 0.06 μB per formula unit
Energy = -0.205 Ha/atom
Crystal system = triclinic